Entry 1:
MoIr, relaxed, DFT PBEsol; space group = No. 164; formation energy = -0.0634 eV/atom; uncorrected energy = -10.86 eV/atom; density of states at the Fermi level = 1.90 states/eV/f.u.
1.0
2.743 0.000 0.000
-1.371 2.375 0.000
0.000 0.000 9.033
Mo Ir
2 2
direct
0.333 0.667 0.364
0.667 0.333 0.636
0.333 0.667 0.872
0.667 0.333 0.128


Entry 2:
MoIr, relaxed, DFT PBEsol; space group = No. 123; formation energy = -0.3172 eV/atom; uncorrected energy = -11.11 eV/atom; density of states at the Fermi level = 1.27 states/eV/f.u.
1.0
2.736 0.000 0.000
0.000 2.736 0.000
0.000 0.000 3.874
Mo Ir
1 1
direct
0.000 0.000 0.000
0.500 0.500 0.500


Entry 3:
MoIr5, relaxed, DFT PBEsol; space group = No. 8; formation energy = -0.1485 eV/atom; uncorrected energy = -10.30 eV/atom; density of states at the Fermi level = 5.36 states/eV/f.u.; relative energy among the computed polymorphs = 0.0650 eV per atom
1.0
9.963 0.000 0.000
0.000 2.734 0.000
-1.559 0.000 6.257
Mo Ir
2 10
direct
0.000 0.000 0.000
0.500 0.500 0.000
0.110 0.500 0.723
0.165 0.500 0.326
0.279 0.000 0.054
0.336 0.000 0.671
0.446 0.500 0.388
0.610 0.000 0.723
0.665 0.000 0.326
0.779 0.500 0.054
0.836 0.500 0.671
0.946 0.000 0.388


Entry 4:
MoIr, relaxed, DFT PBEsol; space group = No. 59; formation energy = -0.1552 eV/atom; uncorrected energy = -10.95 eV/atom; density of states at the Fermi level = 1.68 states/eV/f.u.
1.0
2.715 0.000 0.000
0.000 4.437 0.000
0.000 0.000 4.834
Mo Ir
2 2
direct
0.250 0.250 0.098
0.750 0.750 0.902
0.250 0.750 0.412
0.750 0.250 0.588


Entry 5:
MoIr8, relaxed, DFT PBEsol; space group = No. 139; formation energy = -0.1527 eV/atom; uncorrected energy = -10.19 eV/atom; density of states at the Fermi level = 7.18 states/eV/f.u.
1.0
-4.071 4.071 1.919
4.071 -4.071 1.919
4.071 4.071 -1.919
Mo Ir
1 8
direct
0.000 0.000 0.000
0.000 0.331 0.331
0.000 0.669 0.669
0.331 0.000 0.331
0.337 0.337 0.673
0.337 0.663 0.000
0.663 0.337 0.000
0.663 0.663 0.327
0.669 0.000 0.669


Entry 6:
MoIr5, relaxed, DFT PBEsol; space group = No. 38; formation energy = -0.1712 eV/atom; uncorrected energy = -10.32 eV/atom; density of states at the Fermi level = 4.64 states/eV/f.u.; relative energy among the computed polymorphs = 0.0423 eV per atom
1.0
4.369 0.000 0.000
0.000 2.738 0.000
0.000 0.000 14.248
Mo Ir
2 10
direct
0.000 0.000 0.000
0.000 0.500 0.500
0.000 0.000 0.333
0.000 0.000 0.663
0.000 0.500 0.163
0.000 0.500 0.833
0.500 0.000 0.110
0.500 0.000 0.443
0.500 0.000 0.777
0.500 0.500 0.277
0.500 0.500 0.610
0.500 0.500 0.943


Entry 7:
MoIr5, relaxed, DFT PBEsol; space group = No. 189; formation energy = -0.2030 eV/atom; uncorrected energy = -10.35 eV/atom; density of states at the Fermi level = 4.20 states/eV/f.u.; relative energy among the computed polymorphs = 0.0105 eV per atom
1.0
4.748 0.000 0.000
-2.374 4.112 0.000
0.000 0.000 4.358
Mo Ir
1 5
direct
0.000 0.000 0.000
0.000 0.663 0.500
0.333 0.667 0.000
0.337 0.337 0.500
0.663 0.000 0.500
0.667 0.333 0.000


Entry 8:
MoIr, relaxed, DFT PBEsol; space group = No. 12; formation energy = -0.2473 eV/atom; uncorrected energy = -11.04 eV/atom; density of states at the Fermi level = 1.60 states/eV/f.u.
1.0
10.006 0.000 0.000
0.000 2.735 0.000
-2.288 0.000 4.242
Mo Ir
4 4
direct
0.122 0.000 0.460
0.378 0.500 0.540
0.622 0.500 0.460
0.878 0.000 0.540
0.124 0.500 0.957
0.376 0.000 0.043
0.624 0.000 0.957
0.876 0.500 0.043


Entry 9:
Mo3IrN, relaxed, DFT PBEsol; space group = No. 221; uncorrected energy = -11.06 eV/atom; uncorrected formation energy = -0.33 eV per atom; density of states at the Fermi level = 4.57 states/eV/f.u.
1.0
4.041 0.000 0.000
0.000 4.041 0.000
0.000 0.000 4.041
Mo Ir N
3 1 1
direct
0.000 0.000 0.500
0.000 0.500 0.000
0.500 0.000 0.000
0.500 0.500 0.500
0.000 0.000 0.000


Entry 10:
NaTiMo2Ir, relaxed, DFT PBEsol; space group = No. 123; formation energy = 1.2191 eV/atom; uncorrected energy = -7.40 eV/atom; density of states at the Fermi level = 5.85 states/eV/f.u.
1.0
4.778 0.000 0.000
0.000 4.778 0.000
0.000 0.000 4.762
Na Ti Mo Ir
1 1 2 1
direct
0.000 0.000 0.000
0.500 0.500 0.000
0.000 0.500 0.500
0.500 0.000 0.500
0.500 0.500 0.500


Entry 11:
Nb2MoIrRu, relaxed, DFT PBEsol; space group = No. 123; formation energy = 1.6344 eV/atom; uncorrected energy = -9.05 eV/atom; density of states at the Fermi level = 6.74 states/eV/f.u.
1.0
4.746 0.000 0.000
0.000 4.746 0.000
0.000 0.000 4.556
Nb Mo Ir Ru
2 1 1 1
direct
0.000 0.500 0.000
0.500 0.000 0.000
0.000 0.000 0.500
0.500 0.500 0.000
0.500 0.500 0.500


Entry 12:
Ni2MoIr, relaxed, DFT PBEsol; space group = No. 139; formation energy = -0.1156 eV/atom; uncorrected energy = -8.59 eV/atom; density of states at the Fermi level = 4.12 states/eV/f.u.; relative energy among the computed polymorphs = 0.0738 eV per atom
1.0
3.669 0.000 0.000
0.000 3.669 0.000
0.000 0.000 7.419
Ni Mo Ir
4 2 2
direct
0.000 0.500 0.250
0.000 0.500 0.750
0.500 0.000 0.250
0.500 0.000 0.750
0.000 0.000 0.000
0.500 0.500 0.500
0.000 0.000 0.500
0.500 0.500 0.000